(1)
Compound: Li2CdSn2
Source: Alexandria
Functional: PBE
Structure: relaxed

The density of states at the Fermi level comes out at 0.29 states/eV per atom. The value obtained for the uncorrected energy is -0.202 Ry/atom. The calculation puts the formation energy at -199 meV per atom.

abc: 8.111 8.111 3.376
angles: 90.00 90.00 90.00
Sites, in units of the cell vectors:
Li (0.172, 0.328, 0.000)
Li (0.328, 0.828, 0.000)
Li (0.672, 0.172, 0.000)
Li (0.828, 0.672, 0.000)
Cd (0.000, 0.000, 0.500)
Cd (0.500, 0.500, 0.500)
Sn (0.130, 0.630, 0.500)
Sn (0.370, 0.130, 0.500)
Sn (0.630, 0.870, 0.500)
Sn (0.870, 0.370, 0.500)

---

(2)
Compound: YMoN3
Source: Alexandria
Functional: PBE
Structure: relaxed

As for the raw formation energy: -0.5530 eV per atom. The density of states at the Fermi level comes out at 0.30 states/eV per atom. The value obtained for the uncorrected energy is -0.662 Ry/atom.

abc: 3.248 4.041 4.873
angles: 96.28 109.45 90.07
Sites, in units of the cell vectors:
Y (0.000, 0.000, 0.000)
Mo (0.285, 0.461, 0.572)
N (0.287, 0.959, 0.575)
N (0.507, 0.571, 0.016)
N (0.623, 0.373, 0.246)